Record 1
# DyTm2Mg, optimized geometry, DFT PBE
# E above lowest polymorph = 3 meV per atom
# D(E_F) = 4.53 states/eV per cell
# Calculated formation energy = -23 meV per atom
# Electronic total energy = -3.808 eV/atom
data_DyTm2Mg
_cell_length_a 3.5292
_cell_length_b 3.5292
_cell_length_c 9.2594
_cell_angle_alpha 90.00
_cell_angle_beta 90.00
_cell_angle_gamma 90.00
_symmetry_space_group_name_H-M 'P 4/m m m'
_symmetry_Int_Tables_number 123
_symmetry_space_group_name_Hall '-P 4 2'
loop_
_atom_site_label
_atom_site_fract_x
_atom_site_fract_y
_atom_site_fract_z
Dy1 0.0000 0.0000 0.0000
Tm1 0.5000 0.5000 0.2625
Mg1 0.0000 0.0000 0.5000

---

Record 2
# ScAgTe2, optimized geometry, DFT PBE
# D(E_F) = 2.70 states/eV per cell
# E_form (uncorrected) = -0.704 eV/atom
# Electronic total energy = -4.571 eV/atom
data_ScAgTe2
_cell_length_a 4.0940
_cell_length_b 3.9041
_cell_length_c 13.4036
_cell_angle_alpha 90.00
_cell_angle_beta 90.00
_cell_angle_gamma 90.00
_symmetry_space_group_name_H-M 'A m m 2'
_symmetry_Int_Tables_number 38
_symmetry_space_group_name_Hall 'A 2 -2'
loop_
_atom_site_label
_atom_site_fract_x
_atom_site_fract_y
_atom_site_fract_z
Sc1 0.0000 0.0000 0.0000
Ag1 0.5000 0.0000 0.2020
Te1 0.0000 0.0000 0.6628
Te2 0.5000 0.0000 0.4165

---

D(E_F) of number 2 (ScAgTe2)?
2.70 states/eV per cell